Here is a geometry-optimized Fe3TcW structure from Alexandria via LeMat-Bulk. Energies are from PBEsol.

Geometry as extended XYZ:
```
5
Lattice="4.3041 0.0000 0.0000 0.0000 4.3041 0.0000 0.0000 0.0000 4.3041" Properties=species:S:1:pos:R:3 pbc="T T T"
Fe 0.0000 0.0000 2.1521
Fe 0.0000 2.1521 0.0000
Fe 2.1521 0.0000 0.0000
Tc 2.1521 2.1521 2.1521
W 0.0000 0.0000 0.0000
```

Calculated values
As for the space group: Pm-3m, No. 221. The calculation puts the formation energy at 1.94 eV per atom.

---

Here is a geometry-optimized ZnFe2Tc structure from Alexandria via LeMat-Bulk. Energies are from PBEsol.

Geometry as extended XYZ:
```
4
Lattice="4.2248 -1.2760 0.0000 4.2248 1.2760 0.0000 -0.6305 0.0000 4.5111" Properties=species:S:1:pos:R:3 pbc="T T T"
Zn 0.0000 0.0000 0.0000
Fe 1.6474 0.0000 3.3607
Fe 6.1717 0.0000 1.1504
Tc 3.9095 0.0000 2.2556
```

Calculated values
As for the space group: C2/m, No. 12. The calculation puts the formation energy at 0.18 eV per atom.

---

Here is a geometry-optimized ZnFe2Tc structure from Alexandria via LeMat-Bulk. Energies are from PBEsol.

Geometry as extended XYZ:
```
4
Lattice="0.0000 2.8898 2.8898 2.8898 0.0000 2.8898 2.8898 2.8898 0.0000" Properties=species:S:1:pos:R:3 pbc="T T T"
Zn 0.0000 0.0000 0.0000
Fe 2.8898 2.8898 2.8898
Fe 4.3346 4.3346 4.3346
Tc 1.4449 1.4449 1.4449
```

Calculated values
As for the space group: F-43m, No. 216. The calculation puts the formation energy at 0.17 eV per atom.

---

Here is a geometry-optimized ZnFe2Tc structure from Alexandria via LeMat-Bulk. Energies are from PBEsol.

Geometry as extended XYZ:
```
4
Lattice="2.5989 0.0000 0.0000 0.0000 2.5989 0.0000 0.0000 0.0000 7.0716" Properties=species:S:1:pos:R:3 pbc="T T T"
Zn 0.0000 0.0000 0.0000
Fe 1.2995 1.2995 1.7714
Fe 1.2995 1.2995 5.3001
Tc 0.0000 0.0000 3.5358
```

Calculated values
As for the space group: P4/mmm, No. 123. The calculation puts the formation energy at 0.05 eV per atom.